Material: Hf2ThGa
Method: DFT, GGA-PBE
State: relaxed

Unit cell a=3.3580 b=3.3580 c=28.8754 alpha=90.00 beta=90.00 gamma=120.00
Closest atoms and distances in Å follow each position.
Fractional positions:
1 Hf 0.0000 0.0000 0.2416  3 Ga 2.90
2 Hf 0.0000 0.0000 0.7584  3 Ga 2.90
3 Hf 0.3333 0.6667 0.4251  3 Ga 2.90
4 Hf 0.3333 0.6667 0.9082  3 Ga 2.90
5 Hf 0.6667 0.3333 0.0918  3 Ga 2.90
6 Hf 0.6667 0.3333 0.5749  3 Ga 2.90
7 Th 0.0000 0.0000 0.0000  6 Hf 3.28, 6 Th 3.36
8 Th 0.3333 0.6667 0.6667  6 Hf 3.28, 6 Th 3.36
9 Th 0.6667 0.3333 0.3333  6 Hf 3.28, 6 Th 3.36
10 Ga 0.0000 0.0000 0.5000  6 Hf 2.90
11 Ga 0.3333 0.6667 0.1667  6 Hf 2.90
12 Ga 0.6667 0.3333 0.8333  6 Hf 2.90

Size of the total moment: 0.000 μB per atom
Density of states at the Fermi level: 4.66 states/eV/f.u.
Total DFT energy (no corrections): -7.5676 eV per atom
V: 94.0 Å³/f.u.
ΔH_f (0 K): 0.02 eV/atom
ρ: 11.638 g cm⁻³

=====

Material: Ac8IrOs3Br3
Method: DFT, GGA-PBE
State: relaxed

Unit cell a=8.7366 b=8.7366 c=9.6003 alpha=117.14 beta=117.14 gamma=59.95
Closest atoms and distances in Å follow each position.
Fractional positions:
1 Ac 0.2281 0.7316 0.6912  2 Os 2.96, 1 Ir 2.98
2 Ac 0.2315 0.2315 0.6944  3 Os 2.98
3 Ac 0.2683 0.2683 0.3084  2 Os 2.96, 1 Ir 2.98
4 Ac 0.2684 0.7719 0.3088  2 Os 2.96, 1 Ir 2.98
5 Ac 0.7316 0.2281 0.6912  2 Os 2.96, 1 Ir 2.98
6 Ac 0.7317 0.7317 0.6916  2 Os 2.96, 1 Ir 2.98
7 Ac 0.7685 0.7685 0.3056  3 Os 2.98
8 Ac 0.7719 0.2684 0.3088  2 Os 2.96, 1 Ir 2.98
9 Ir 0.5000 0.5000 0.5000  6 Ac 2.98
10 Os 0.0000 0.0000 0.5000  6 Ac 2.96-2.98
11 Os 0.0000 0.5000 0.5000  6 Ac 2.96-2.98
12 Os 0.5000 0.0000 0.5000  6 Ac 2.96-2.98
13 Br 0.0000 0.5000 0.0000  6 Ac 3.55-3.57
14 Br 0.5000 0.0000 0.0000  6 Ac 3.55-3.57
15 Br 0.5000 0.5000 0.0000  6 Ac 3.54-3.57

Size of the total moment: 0.000 μB per atom
Density of states at the Fermi level: 5.11 states/eV/f.u.
Total DFT energy (no corrections): -6.0261 eV per atom
V: 539.2 Å³/f.u.
ρ: 8.680 g cm⁻³
Energy relative to the elements, uncorrected: -64.0 kJ per mole of atoms

=====

Material: LiErZn2Ge2
Method: DFT, GGA-PBE
State: relaxed

Unit cell a=4.2502 b=4.2502 c=6.7835 alpha=90.00 beta=90.00 gamma=120.00
Closest atoms and distances in Å follow each position.
Fractional positions:
1 Li 0.0000 0.0000 0.0000  6 Zn 2.73, 6 Ge 2.99
2 Er 0.0000 0.0000 0.5000  6 Ge 2.98, 6 Zn 3.30
3 Zn 0.3333 0.6667 0.1753  3 Ge 2.51, 3 Li 2.73
4 Zn 0.6667 0.3333 0.8247  3 Ge 2.51, 3 Li 2.73
5 Ge 0.3333 0.6667 0.7494  3 Zn 2.51
6 Ge 0.6667 0.3333 0.2506  3 Zn 2.51

Size of the total moment: 0.000 μB per atom
Density of states at the Fermi level: 1.04 states/eV/f.u.
Total DFT energy (no corrections): -3.5029 eV per atom
V: 106.1 Å³/f.u.
ΔH_f (0 K): -0.46 eV/atom
ρ: 7.046 g cm⁻³

=====

Material: Ac3In3Hg
Method: DFT, GGA-PBE
State: relaxed

Unit cell a=6.5622 b=6.5622 c=16.3770 alpha=108.49 beta=108.49 gamma=45.29
Closest atoms and distances in Å follow each position.
Fractional positions:
1 Ac 0.0402 0.0402 0.3836  7 In 3.50-3.76, 4 Hg 3.54-3.75
2 Ac 0.1024 0.1024 0.9225  7 In 3.45-3.63
3 Ac 0.2401 0.2401 0.2259  6 In 3.47-3.62, 2 Hg 3.64
4 Ac 0.7599 0.7599 0.7741  6 In 3.47-3.62, 2 Hg 3.64
5 Ac 0.8976 0.8976 0.0775  7 In 3.45-3.63
6 Ac 0.9598 0.9598 0.6164  7 In 3.50-3.76, 4 Hg 3.54-3.75
7 In 0.3667 0.3667 0.4594  3 Hg 2.95-3.24, 1 In 3.04
8 In 0.3883 0.3883 0.9240  2 In 2.98-3.03
9 In 0.4715 0.4715 0.7693  1 Hg 2.99, 1 In 3.03
10 In 0.5285 0.5285 0.2307  1 Hg 2.99, 1 In 3.03
11 In 0.6117 0.6117 0.0760  2 In 2.98-3.03
12 In 0.6333 0.6333 0.5406  3 Hg 2.95-3.24, 1 In 3.04
13 Hg 0.2536 0.2536 0.6122  4 In 2.95-3.24
14 Hg 0.7464 0.7464 0.3878  4 In 2.95-3.24

Size of the total moment: 0.001 μB per atom
Density of states at the Fermi level: 5.48 states/eV/f.u.
Total DFT energy (no corrections): -3.4318 eV per atom
V: 235.4 Å³/f.u.
ΔH_f (0 K): -0.45 eV/atom
ρ: 8.650 g cm⁻³

=====

Material: TcNiHgPt2
Method: DFT, GGA-PBE
State: relaxed

Unit cell a=4.6945 b=4.6945 c=4.3354 alpha=90.00 beta=90.00 gamma=90.00
Closest atoms and distances in Å follow each position.
Fractional positions:
1 Tc 0.0000 0.0000 0.0000  2 Ni 2.17
2 Ni 0.0000 0.0000 0.5000  2 Tc 2.17, 4 Pt 2.35
3 Hg 0.5000 0.5000 0.0000  8 Pt 3.20, 4 Tc 3.32
4 Pt 0.0000 0.5000 0.5000  2 Ni 2.35
5 Pt 0.5000 0.0000 0.5000  2 Ni 2.35

Size of the total moment: 0.489 μB per atom
Density of states at the Fermi level: 7.46 states/eV/f.u.
Total DFT energy (no corrections): -4.7163 eV per atom
V: 95.5 Å³/f.u.
ΔH_f (0 K): 0.99 eV/atom
ρ: 12.990 g cm⁻³

=====

Material: AcEuPtSe
Method: DFT, GGA-PBE
State: relaxed

Unit cell a=7.5334 b=7.5334 c=7.5334 alpha=90.00 beta=90.00 gamma=90.00
Closest atoms and distances in Å follow each position.
Fractional positions:
1 Ac 0.0000 0.0000 0.0000  4 Se 3.26, 4 Pt 3.26
2 Ac 0.0000 0.5000 0.5000  4 Se 3.26, 4 Pt 3.26
3 Ac 0.5000 0.0000 0.5000  4 Se 3.26, 4 Pt 3.26
4 Ac 0.5000 0.5000 0.0000  4 Se 3.26, 4 Pt 3.26
5 Eu 0.0000 0.0000 0.5000  4 Se 3.26, 4 Pt 3.26
6 Eu 0.0000 0.5000 0.0000  4 Se 3.26, 4 Pt 3.26
7 Eu 0.5000 0.0000 0.0000  4 Se 3.26, 4 Pt 3.26
8 Eu 0.5000 0.5000 0.5000  4 Se 3.26, 4 Pt 3.26
9 Pt 0.2500 0.2500 0.7500  4 Ac 3.26, 4 Eu 3.26
10 Pt 0.2500 0.7500 0.2500  4 Ac 3.26, 4 Eu 3.26
11 Pt 0.7500 0.2500 0.2500  4 Ac 3.26, 4 Eu 3.26
12 Pt 0.7500 0.7500 0.7500  4 Ac 3.26, 4 Eu 3.26
13 Se 0.2500 0.2500 0.2500  4 Eu 3.26, 4 Ac 3.26
14 Se 0.2500 0.7500 0.7500  4 Ac 3.26, 4 Eu 3.26
15 Se 0.7500 0.2500 0.7500  4 Ac 3.26, 4 Eu 3.26
16 Se 0.7500 0.7500 0.2500  4 Ac 3.26, 4 Eu 3.26

Size of the total moment: 1.905 μB per atom
Density of states at the Fermi level: 3.62 states/eV/f.u.
Total DFT energy (no corrections): -7.1759 eV per atom
V: 106.9 Å³/f.u.
ρ: 10.145 g cm⁻³
Energy relative to the elements, uncorrected: -115.7 kJ per mole of atoms